ZrSiSn | OQMD | PBE | relaxed; polymorph energy (0 for the lowest one) = 0.000 eV/atom
1.0
0.0000 3.2501 3.2501
3.2501 0.0000 3.2501
3.2501 3.2501 0.0000
Zr Si Sn
1 1 1
direct
0.0000 0.0000 0.0000 Zr
0.7500 0.7500 0.7500 Si
0.5000 0.5000 0.5000 Sn

YGaFePd | OQMD | PBE | relaxed; polymorph energy (0 for the lowest one) = 0.000 eV/atom
1.0
0.0000 3.2584 3.2584
3.2584 0.0000 3.2584
3.2584 3.2584 0.0000
Y Ga Fe Pd
1 1 1 1
direct
0.0000 0.0000 0.0000 Y
0.5000 0.5000 0.5000 Ga
0.7500 0.7500 0.7500 Fe
0.2500 0.2500 0.2500 Pd

TmTlNO | OQMD | PBE | relaxed; polymorph energy (0 for the lowest one) = 0.187 eV/atom
1.0
3.5684 0.0000 0.0000
0.0000 3.5684 0.0000
0.0000 0.0000 4.7077
Tm Tl N O
1 1 1 1
direct
0.0000 0.0000 0.0000 Tm
0.5000 0.5000 0.5000 Tl
0.5000 0.5000 0.0000 N
0.0000 0.0000 0.5000 O

DyLuCuS3 | OQMD | PBE | relaxed; uncorrected energy = -68.7 eV for the cell shown
1.0
1.8611 -6.2560 0.0000
1.8611 6.2560 0.0000
0.0000 0.0000 9.9055
Dy Lu Cu S
2 2 2 6
direct
0.2327 0.7673 0.7500 Dy
0.7673 0.2327 0.2500 Dy
0.0000 0.0000 0.0000 Lu
0.0000 0.0000 0.5000 Lu
0.4783 0.5217 0.2500 Cu
0.5217 0.4783 0.7500 Cu
0.0949 0.9051 0.2500 S
0.3565 0.6435 0.0734 S
0.3565 0.6435 0.4266 S
0.6435 0.3565 0.5734 S
0.6435 0.3565 0.9266 S
0.9051 0.0949 0.7500 S

Pr2SbO5F | OQMD | PBE | relaxed; uncorrected energy = -261.9 eV for the cell shown
1.0
6.9942 0.0000 0.0000
0.0000 6.6108 0.0000
-0.6877 0.0000 10.1128
Pr Sb O F
8 4 20 4
direct
0.1232 0.0000 0.0357 Pr
0.1325 0.1893 0.6621 Pr
0.3679 0.6276 0.8379 Pr
0.3723 0.8178 0.4642 Pr
0.6277 0.3178 0.5358 Pr
0.6321 0.1276 0.1621 Pr
0.8675 0.6893 0.3379 Pr
0.8768 0.5000 0.9643 Pr
0.1140 0.2597 0.3230 Sb
0.3918 0.5544 0.1770 Sb
0.6082 0.0544 0.8230 Sb
0.8860 0.7597 0.6770 Sb
0.0482 0.8421 0.5354 O
0.0538 0.9807 0.2727 O
0.0816 0.8551 0.8143 O
0.1911 0.6438 0.0419 O
0.2021 0.5592 0.3239 O
0.3016 0.2549 0.1747 O
0.3137 0.1743 0.4611 O
0.4118 0.9488 0.6889 O
0.4474 0.9750 0.9662 O
0.4675 0.8265 0.2330 O
0.5325 0.3265 0.7670 O
0.5526 0.4750 0.0338 O
0.5882 0.4488 0.3111 O
0.6863 0.6743 0.5389 O
0.6984 0.7549 0.8253 O
0.7979 0.0592 0.6761 O
0.8089 0.1438 0.9581 O
0.9184 0.3551 0.1857 O
0.9462 0.4807 0.7273 O
0.9518 0.3421 0.4646 O
0.1735 0.2930 0.8942 F
0.3171 0.5270 0.6061 F
0.6829 0.0270 0.3939 F
0.8265 0.7930 0.1058 F

Zr2AlO4 | OQMD | PBE | relaxed; uncorrected energy = -119.7 eV for the cell shown
1.0
0.0000 4.3687 4.3687
4.3687 0.0000 4.3687
4.3687 4.3687 0.0000
Zr Al O
4 2 8
direct
0.0000 0.0000 0.0000 Zr
0.0000 0.0000 0.5000 Zr
0.0000 0.5000 0.0000 Zr
0.5000 0.0000 0.0000 Zr
0.3750 0.3750 0.3750 Al
0.6250 0.6250 0.6250 Al
0.2582 0.2582 0.2582 O
0.2582 0.2582 0.7255 O
0.2582 0.7255 0.2582 O
0.2745 0.7418 0.7418 O
0.7255 0.2582 0.2582 O
0.7418 0.2745 0.7418 O
0.7418 0.7418 0.2745 O
0.7418 0.7418 0.7418 O

PmTaO4 | OQMD | PBE | relaxed; uncorrected energy = -110.4 eV for the cell shown
1.0
5.8818 0.0000 0.0000
0.0000 5.0839 0.0000
-1.8216 0.0000 5.5111
Pm Ta O
2 2 8
direct
0.0000 0.0000 0.0000 Pm
0.0000 0.5000 0.5000 Pm
0.5000 0.0000 0.5000 Ta
0.5000 0.5000 0.0000 Ta
0.1769 0.1442 0.3915 O
0.1769 0.3558 0.8915 O
0.3869 0.7185 0.6917 O
0.3869 0.7815 0.1917 O
0.6131 0.2185 0.8083 O
0.6131 0.2815 0.3083 O
0.8231 0.6442 0.1085 O
0.8231 0.8558 0.6085 O

BeZn2 | OQMD | PBE | relaxed; uncorrected energy = -10.0 eV for the cell shown
1.0
0.0000 3.4538 3.4538
3.4538 0.0000 3.4538
3.4538 3.4538 0.0000
Be Zn
2 4
direct
0.1250 0.1250 0.1250 Be
0.8750 0.8750 0.8750 Be
0.0000 0.5000 0.5000 Zn
0.5000 0.0000 0.5000 Zn
0.5000 0.5000 0.0000 Zn
0.5000 0.5000 0.5000 Zn

ZnCoOsPt | OQMD | PBE | relaxed; polymorph energy (0 for the lowest one) = 0.000 eV/atom; energy relative to the elements = 0.270 eV/atom
1.0
0.0000 3.0477 3.0477
3.0477 0.0000 3.0477
3.0477 3.0477 0.0000
Zn Co Os Pt
1 1 1 1
direct
0.0000 0.0000 0.0000 Zn
0.2500 0.2500 0.2500 Co
0.5000 0.5000 0.5000 Os
0.7500 0.7500 0.7500 Pt

RbHfAsO | OQMD | PBE | relaxed; polymorph energy (0 for the lowest one) = 1.288 eV/atom
1.0
4.6020 0.0000 0.0000
0.0000 4.6020 0.0000
0.0000 0.0000 11.0099
Rb Hf As O
2 2 2 2
direct
0.2500 0.2500 0.1261 Rb
0.7500 0.7500 0.8739 Rb
0.2500 0.7500 0.5000 Hf
0.7500 0.2500 0.5000 Hf
0.2500 0.2500 0.6174 As
0.7500 0.7500 0.3826 As
0.2500 0.7500 0.0000 O
0.7500 0.2500 0.0000 O

PrCoSb3 | OQMD | PBE | relaxed; uncorrected energy = -216.9 eV for the cell shown
1.0
12.8575 0.0000 0.0000
0.0000 6.1719 0.0000
0.0000 0.0000 12.1464
Pr Co Sb
8 8 24
direct
0.1975 0.2255 0.2500 Pr
0.1975 0.2745 0.7500 Pr
0.2009 0.7500 0.0000 Pr
0.2009 0.7500 0.5000 Pr
0.7991 0.2500 0.0000 Pr
0.7991 0.2500 0.5000 Pr
0.8025 0.7255 0.2500 Pr
0.8025 0.7745 0.7500 Pr
0.4027 0.0375 0.6357 Co
0.4027 0.0375 0.8643 Co
0.4027 0.4625 0.1357 Co
0.4027 0.4625 0.3643 Co
0.5973 0.5375 0.6357 Co
0.5973 0.5375 0.8643 Co
0.5973 0.9625 0.1357 Co
0.5973 0.9625 0.3643 Co
0.0022 0.0126 0.6242 Sb
0.0022 0.0126 0.8758 Sb
0.0022 0.4874 0.1242 Sb
0.0022 0.4874 0.3758 Sb
0.2829 0.2500 0.0000 Sb
0.2829 0.2500 0.5000 Sb
0.2886 0.7331 0.2500 Sb
0.2886 0.7669 0.7500 Sb
0.4448 0.1155 0.2500 Sb
0.4448 0.3845 0.7500 Sb
0.4722 0.7500 0.0000 Sb
0.4722 0.7500 0.5000 Sb
0.5278 0.2500 0.0000 Sb
0.5278 0.2500 0.5000 Sb
0.5552 0.6155 0.2500 Sb
0.5552 0.8845 0.7500 Sb
0.7114 0.2331 0.2500 Sb
0.7114 0.2669 0.7500 Sb
0.7171 0.7500 0.0000 Sb
0.7171 0.7500 0.5000 Sb
0.9978 0.5126 0.6242 Sb
0.9978 0.5126 0.8758 Sb
0.9978 0.9874 0.1242 Sb
0.9978 0.9874 0.3758 Sb

HoGeTe3Au | OQMD | PBE | relaxed; polymorph energy (0 for the lowest one) = 0.086 eV/atom
1.0
13.3219 0.0000 0.0000
0.0000 4.1994 0.0000
0.0000 0.0000 12.4148
Ho Ge Te Au
4 4 12 4
direct
0.0711 0.2500 0.1821 Ho
0.4289 0.7500 0.6821 Ho
0.5711 0.2500 0.3179 Ho
0.9289 0.7500 0.8179 Ho
0.2334 0.2500 0.4285 Ge
0.2666 0.7500 0.9285 Ge
0.7334 0.2500 0.0715 Ge
0.7666 0.7500 0.5715 Ge
0.0583 0.7500 0.3636 Te
0.0803 0.2500 0.9220 Te
0.2070 0.7500 0.6384 Te
0.2930 0.2500 0.1384 Te
0.4197 0.7500 0.4220 Te
0.4417 0.2500 0.8636 Te
0.5583 0.7500 0.1364 Te
0.5803 0.2500 0.5780 Te
0.7070 0.7500 0.8616 Te
0.7930 0.2500 0.3616 Te
0.9197 0.7500 0.0780 Te
0.9417 0.2500 0.6364 Te
0.2475 0.2500 0.7817 Au
0.2525 0.7500 0.2817 Au
0.7475 0.2500 0.7183 Au
0.7525 0.7500 0.2183 Au

ScBeZnSb | OQMD | PBE | relaxed; polymorph energy (0 for the lowest one) = 0.000 eV/atom
1.0
0.0000 3.3392 3.3392
3.3392 0.0000 3.3392
3.3392 3.3392 0.0000
Sc Be Zn Sb
1 1 1 1
direct
0.0000 0.0000 0.0000 Sc
0.5000 0.5000 0.5000 Be
0.2500 0.2500 0.2500 Zn
0.7500 0.7500 0.7500 Sb

Hf2BeAs | OQMD | PBE | relaxed; polymorph energy (0 for the lowest one) = 1.130 eV/atom
1.0
0.0000 3.2665 3.2665
3.2665 0.0000 3.2665
3.2665 3.2665 0.0000
Hf Be As
2 1 1
direct
0.0000 0.0000 0.0000 Hf
0.2500 0.2500 0.2500 Hf
0.7500 0.7500 0.7500 Be
0.5000 0.5000 0.5000 As

AgBi5Mo3 | OQMD | PBE | relaxed; uncorrected energy = -52.4 eV for the cell shown
1.0
5.6322 0.0000 0.0000
-2.8161 4.8777 0.0000
0.0000 0.0000 8.6363
Ag Bi Mo
1 5 3
direct
0.0000 0.0000 0.0000 Ag
0.0000 0.0000 0.5000 Bi
0.3333 0.6667 0.2077 Bi
0.3333 0.6667 0.7923 Bi
0.6667 0.3333 0.2077 Bi
0.6667 0.3333 0.7923 Bi
0.0000 0.5000 0.5000 Mo
0.5000 0.0000 0.5000 Mo
0.5000 0.5000 0.5000 Mo

SmScGa2Au2 | OQMD | PBE | relaxed; uncorrected energy = -28.2 eV for the cell shown
1.0
4.4942 0.0000 0.0000
-2.2471 3.8921 0.0000
0.0000 0.0000 6.9950
Sm Sc Ga Au
1 1 2 2
direct
0.0000 0.0000 0.0000 Sm
0.0000 0.0000 0.5000 Sc
0.6667 0.3333 0.2429 Ga
0.6667 0.3333 0.7571 Ga
0.3333 0.6667 0.2860 Au
0.3333 0.6667 0.7140 Au

InFeMoPd | OQMD | PBE | relaxed; polymorph energy (0 for the lowest one) = 0.000 eV/atom
1.0
0.0000 3.1665 3.1665
3.1665 0.0000 3.1665
3.1665 3.1665 0.0000
In Fe Mo Pd
1 1 1 1
direct
0.0000 0.0000 0.0000 In
0.2500 0.2500 0.2500 Fe
0.5000 0.5000 0.5000 Mo
0.7500 0.7500 0.7500 Pd

Dy2YCo2B2C3 | OQMD | PBE | relaxed; uncorrected energy = -74.0 eV for the cell shown
1.0
-1.7763 1.7763 10.2635
1.7763 -1.7763 10.2635
1.7763 1.7763 -10.2635
Dy Y Co B C
2 1 2 2 3
direct
0.1244 0.1244 0.0000 Dy
0.8756 0.8756 0.0000 Dy
0.5000 0.5000 0.0000 Y
0.2500 0.7500 0.5000 Co
0.7500 0.2500 0.5000 Co
0.3051 0.3051 0.0000 B
0.6949 0.6949 0.0000 B
0.0000 0.0000 0.0000 C
0.3786 0.3786 0.0000 C
0.6214 0.6214 0.0000 C

Li4MgAlCd2 | OQMD | PBE | relaxed; uncorrected energy = -16.3 eV for the cell shown
1.0
4.6028 0.0000 0.0000
0.0000 4.6028 0.0000
0.0000 0.0000 6.5259
Li Mg Al Cd
4 1 1 2
direct
0.0000 0.0000 0.0000 Li
0.0000 0.5000 0.2397 Li
0.5000 0.0000 0.7603 Li
0.5000 0.5000 0.5000 Li
0.0000 0.0000 0.5000 Mg
0.5000 0.5000 0.0000 Al
0.0000 0.5000 0.7609 Cd
0.5000 0.0000 0.2391 Cd

ZnCd | OQMD | PBE | relaxed; energy relative to the elements = 0.312 eV/atom
1.0
4.6600 0.0000 0.0000
-2.3300 4.0357 0.0000
0.0000 0.0000 5.3738
Zn Cd
2 2
direct
0.3333 0.6667 0.2500 Zn
0.6667 0.3333 0.7500 Zn
0.3333 0.6667 0.7500 Cd
0.6667 0.3333 0.2500 Cd